Density functional theory data (PBEsol) for Zr4BN3 after structural relaxation.

The space group is Pm-3m (No. 221) and the conventional cell measures 4.622, 4.622 and 4.622 Å, with angles of 90.00, 90.00 and 90.00 degrees. The asymmetric unit holds Zr at (0.000, 0.000, 0.000), Zr at (0.000, 0.500, 0.500), B at (0.500, 0.500, 0.500) and N at (0.000, 0.000, 0.500).

As for the density of states at the Fermi level: 0.357 states/eV per atom. For the size of the total moment, the calculation gives 0.0 Bohr magnetons per cell. The value obtained for the total energy is -10.2787 eV/atom. The density comes out at 7.0 Mg/m³. The calculation puts the formation energy from raw total energies at -1.6593 eV/atom.

---

Density functional theory data (PBEsol) for Hf2ReH after structural relaxation.

The space group is I-42d (No. 122) and the conventional cell measures 6.172, 6.172 and 6.322 Å, with angles of 90.00, 90.00 and 90.00 degrees. The asymmetric unit holds Hf at (0.170, 0.250, 0.125), Re at (0.000, 0.000, 0.500) and H at (0.000, 0.000, 0.000).

As for the density of states at the Fermi level: 0.667 states/eV per atom. For the size of the total moment, the calculation gives 0.0 Bohr magnetons per cell. The value obtained for the total energy is -9.3483 eV/atom. The density comes out at 15.0 Mg/m³.

---

Density functional theory data (PBEsol) for YNbPb2 after structural relaxation.

The space group is Fm-3m (No. 225) and the conventional cell measures 7.211, 7.211 and 7.211 Å, with angles of 90.00, 90.00 and 90.00 degrees. The asymmetric unit holds Y at (0.000, 0.000, 0.000), Nb at (0.000, 0.000, 0.500) and Pb at (0.250, 0.250, 0.250).

As for the density of states at the Fermi level: 1.334 states/eV per atom. For the size of the total moment, the calculation gives 6.1 Bohr magnetons per cell. The value obtained for the total energy is -6.3518 eV/atom. The density comes out at 10.6 Mg/m³. The calculation puts the energy of formation at 58 meV per atom.

---

Density functional theory data (PBEsol) for Mg2ReSi after structural relaxation.

The space group is P2/m (No. 10) and the conventional cell measures 4.742, 2.787 and 4.993 Å, with angles of 90.00, 110.39 and 90.00 degrees. The asymmetric unit holds Mg at (0.000, 0.000, 0.000), Mg at (0.500, 0.500, 0.000), Re at (0.000, 0.500, 0.500) and Si at (0.500, 0.000, 0.500).

As for the density of states at the Fermi level: 0.727 states/eV per atom. For the size of the total moment, the calculation gives 0.0 Bohr magnetons per cell. The value obtained for the total energy is -5.3138 eV/atom. The density comes out at 7.1 Mg/m³. The calculation puts the formation energy from raw total energies at 0.3145 eV/atom.

---

Density functional theory data (PBEsol) for TcBPS2 after structural relaxation.

The space group is P4/mmm (No. 123) and the conventional cell measures 4.080, 4.080 and 3.841 Å, with angles of 90.00, 90.00 and 90.00 degrees. The asymmetric unit holds Tc at (0.000, 0.000, 0.000), B at (0.500, 0.500, 0.500), P at (0.500, 0.500, 0.000) and S at (0.000, 0.500, 0.500).

As for the density of states at the Fermi level: 0.749 states/eV per atom. For the size of the total moment, the calculation gives 0.5 Bohr magnetons per cell. The value obtained for the total energy is -5.7622 eV/atom. The density comes out at 5.3 Mg/m³. The calculation puts the formation energy from raw total energies at 0.8063 eV/atom.

---

Density functional theory data (PBEsol) for BeCu3 after structural relaxation.

The space group is Pmm2 (No. 25) and the conventional cell measures 2.524, 3.972 and 4.210 Å, with angles of 90.00, 90.00 and 90.00 degrees. The asymmetric unit holds Be at (0.000, 0.000, 0.000), Cu at (0.000, 0.500, 0.335), Cu at (0.500, 0.000, 0.500) and Cu at (0.500, 0.500, 0.847).

As for the density of states at the Fermi level: 0.257 states/eV per atom. For the size of the total moment, the calculation gives 0.0 Bohr magnetons per cell. The value obtained for the total energy is -4.2606 eV/atom. The density comes out at 7.9 Mg/m³. The calculation puts the energy of formation at -10 meV per atom.

---

Number 2 is which compound?
Hf2ReH

---

The highest size of the total moment belongs to which entry?
YNbPb2

---

Copy entry 6 word for word.
Density functional theory data (PBEsol) for BeCu3 after structural relaxation.

The space group is Pmm2 (No. 25) and the conventional cell measures 2.524, 3.972 and 4.210 Å, with angles of 90.00, 90.00 and 90.00 degrees. The asymmetric unit holds Be at (0.000, 0.000, 0.000), Cu at (0.000, 0.500, 0.335), Cu at (0.500, 0.000, 0.500) and Cu at (0.500, 0.500, 0.847).

As for the density of states at the Fermi level: 0.257 states/eV per atom. For the size of the total moment, the calculation gives 0.0 Bohr magnetons per cell. The value obtained for the total energy is -4.2606 eV/atom. The density comes out at 7.9 Mg/m³. The calculation puts the energy of formation at -10 meV per atom.

---

What did the sixth record say?
Density functional theory data (PBEsol) for BeCu3 after structural relaxation.

The space group is Pmm2 (No. 25) and the conventional cell measures 2.524, 3.972 and 4.210 Å, with angles of 90.00, 90.00 and 90.00 degrees. The asymmetric unit holds Be at (0.000, 0.000, 0.000), Cu at (0.000, 0.500, 0.335), Cu at (0.500, 0.000, 0.500) and Cu at (0.500, 0.500, 0.847).

As for the density of states at the Fermi level: 0.257 states/eV per atom. For the size of the total moment, the calculation gives 0.0 Bohr magnetons per cell. The value obtained for the total energy is -4.2606 eV/atom. The density comes out at 7.9 Mg/m³. The calculation puts the energy of formation at -10 meV per atom.